Model P:
First-principles (PBE-GGA) data for crystalline CePmSe2 at its relaxed geometry, as listed in Alexandria via LeMat-Bulk.

Values from the calculation:
Magnetization = 1.78 μB/f.u.

abc: 7.267 7.267 7.267
angles: 90.00 90.00 90.00
Space group Fm-3m (No. 225)
Asymmetric unit:
Ce 0.000 0.000 0.000 x4
Pm 0.000 0.000 0.500 x4
Se 0.250 0.250 0.250 x8

Model Q:
First-principles (PBE-GGA) data for crystalline CePmSe2 at its relaxed geometry, as listed in Alexandria via LeMat-Bulk.

Values from the calculation:
Magnetization = 0.98 μB/f.u.

abc: 4.1937 4.1937 20.6543
angles: 90.00 90.00 120.00
Space group R-3m (No. 166, hexagonal axes)
Asymmetric unit:
Ce 0.0000 0.0000 0.0000 x3
Pm 0.0000 0.0000 0.5000 x3
Se 0.0000 0.0000 0.2497 x6

What should be chosen as the most stable of them? Choose model Q.

Model P:
First-principles (PBE-GGA) data for crystalline Ce2Pm3Se8 at its relaxed geometry, as listed in Alexandria via LeMat-Bulk.

Values from the calculation:
Magnetization = 1.12 μB/f.u.

abc: 10.175 14.298 4.972
angles: 90.00 90.00 90.00
Space group Cmmm (No. 65)
Asymmetric unit:
Ce 0.000 0.236 0.000 x4
Pm 0.000 0.500 0.000 x2
Pm 0.219 0.000 0.500 x4
Se 0.000 0.129 0.500 x4
Se 0.000 0.380 0.500 x4
Se 0.241 0.375 0.000 x8

Model Q:
First-principles (PBE-GGA) data for crystalline Ce2Pm3Se8 at its relaxed geometry, as listed in Alexandria via LeMat-Bulk.

Values from the calculation:
Magnetization = 1.03 μB/f.u.

abc: 14.926 8.383 7.092
angles: 90.00 109.65 90.00
Space group C2/m (No. 12)
Asymmetric unit:
Ce 0.240 0.000 0.166 x4
Pm 0.000 0.239 0.500 x4
Pm 0.000 0.500 0.000 x2
Se 0.110 0.000 0.382 x4
Se 0.119 0.500 0.428 x4
Se 0.127 0.268 0.916 x8

What should be chosen as the most stable of them? Choose model Q.

Model P:
First-principles (PBE-GGA) data for crystalline Ce2PmSe4 at its relaxed geometry, as listed in Alexandria via LeMat-Bulk.

Values from the calculation:
Magnetization = 2.13 μB/f.u.

abc: 8.401 8.466 11.784
angles: 90.00 90.00 90.00
Space group Imma (No. 74)
Asymmetric unit:
Ce 0.000 0.000 0.000 x4
Ce 0.250 0.250 0.250 x4
Pm 0.250 0.250 0.750 x4
Se 0.000 0.001 0.746 x8
Se 0.244 0.250 0.000 x8

Model Q:
First-principles (PBE-GGA) data for crystalline Ce2PmSe4 at its relaxed geometry, as listed in Alexandria via LeMat-Bulk.

Values from the calculation:
Magnetization = 2.39 μB/f.u.

abc: 4.077 13.999 14.100
angles: 90.00 90.00 90.00
Space group Cmcm (No. 63)
Asymmetric unit:
Ce 0.000 0.133 0.069 x8
Pm 0.000 0.377 0.250 x4
Se 0.000 0.030 0.250 x4
Se 0.000 0.222 0.625 x8
Se 0.000 0.500 0.000 x4

What should be chosen as the most stable of them? Choose model P.

Model P:
First-principles (PBE-GGA) data for crystalline CePmSe at its relaxed geometry, as listed in Alexandria via LeMat-Bulk.

Values from the calculation:
Magnetization = 2.09 μB/f.u.

abc: 3.9666 3.9666 6.7634
angles: 90.00 90.00 120.00
Space group P3m1 (No. 156)
Asymmetric unit:
Ce 0.0000 0.0000 0.0000 x1
Pm 0.6667 0.3333 0.4488 x1
Se 0.3333 0.6667 0.7232 x1

Model Q:
First-principles (PBE-GGA) data for crystalline CePmSe at its relaxed geometry, as listed in Alexandria via LeMat-Bulk.

Values from the calculation:
Magnetization = 0.34 μB/f.u.

abc: 10.964 3.831 8.701
angles: 90.00 119.21 90.00
Space group C2/m (No. 12)
Asymmetric unit:
Ce 0.136 0.000 0.045 x4
Pm 0.074 0.500 0.361 x4
Se 0.165 0.000 0.682 x4

What should be chosen as the most stable of them? Choose model Q.

Model P:
First-principles (PBE-GGA) data for crystalline CePm2Si at its relaxed geometry, as listed in Alexandria via LeMat-Bulk.

Values from the calculation:
Magnetization = 0.00 μB/f.u.

abc: 4.772 4.772 4.525
angles: 90.00 90.00 90.00
Space group P4/mmm (No. 123)
Asymmetric unit:
Ce 0.000 0.000 0.000 x1
Pm 0.000 0.500 0.500 x2
Si 0.500 0.500 0.000 x1

Model Q:
First-principles (PBE-GGA) data for crystalline CePm2Si at its relaxed geometry, as listed in Alexandria via LeMat-Bulk.

Values from the calculation:
Magnetization = 0.01 μB/f.u.

abc: 3.865 3.865 7.040
angles: 90.00 90.00 90.00
Space group P4/mmm (No. 123)
Asymmetric unit:
Ce 0.000 0.000 0.000 x1
Pm 0.500 0.500 0.287 x2
Si 0.000 0.000 0.500 x1

Model R:
First-principles (PBE-GGA) data for crystalline CePm2Si at its relaxed geometry, as listed in Alexandria via LeMat-Bulk.

Values from the calculation:
Magnetization = 0.70 μB/f.u.

abc: 7.446 7.446 7.446
angles: 90.00 90.00 90.00
Space group Fm-3m (No. 225)
Asymmetric unit:
Ce 0.000 0.000 0.000 x4
Pm 0.250 0.250 0.250 x8
Si 0.000 0.000 0.500 x4

Model S:
First-principles (PBE-GGA) data for crystalline CePm2Si at its relaxed geometry, as listed in Alexandria via LeMat-Bulk.

Values from the calculation:
Magnetization = 1.18 μB/f.u.

abc: 4.083 12.067 9.353
angles: 90.00 90.00 90.00
Space group Cmcm (No. 63)
Asymmetric unit:
Ce 0.000 0.068 0.250 x4
Pm 0.000 0.358 0.053 x8
Si 0.000 0.250 0.750 x4

What should be chosen as the most stable of them? Choose model S.

Model P:
First-principles (PBE-GGA) data for crystalline CePmSi4 at its relaxed geometry, as listed in Alexandria via LeMat-Bulk.

Values from the calculation:
Magnetization = 0.01 μB/f.u.

abc: 4.106 4.106 14.227
angles: 90.00 90.00 90.00
Space group I-4m2 (No. 119)
Asymmetric unit:
Ce 0.000 0.000 0.000 x2
Pm 0.000 0.500 0.250 x2
Si 0.000 0.000 0.417 x4
Si 0.000 0.500 0.666 x4

Model Q:
First-principles (PBE-GGA) data for crystalline CePmSi4 at its relaxed geometry, as listed in Alexandria via LeMat-Bulk.

Values from the calculation:
Magnetization = 0.00 μB/f.u.

abc: 7.618 7.618 7.618
angles: 90.00 90.00 90.00
Space group F-43m (No. 216)
Asymmetric unit:
Ce 0.000 0.000 0.000 x4
Pm 0.250 0.250 0.750 x4
Si 0.124 0.124 0.376 x16

What should be chosen as the most stable of them? Choose model P.

Model P:
First-principles (PBE-GGA) data for crystalline CePm2Si2 at its relaxed geometry, as listed in Alexandria via LeMat-Bulk.

Values from the calculation:
Magnetization = 0.19 μB/f.u.

abc: 5.975 17.212 5.099
angles: 90.00 90.00 90.00
Space group Cmcm (No. 63)
Asymmetric unit:
Ce 0.000 0.000 0.000 x4
Pm 0.000 0.218 0.250 x4
Pm 0.000 0.404 0.750 x4
Si 0.208 0.142 0.750 x8

Model Q:
First-principles (PBE-GGA) data for crystalline CePm2Si2 at its relaxed geometry, as listed in Alexandria via LeMat-Bulk.

Values from the calculation:
Magnetization = 0.41 μB/f.u.

abc: 12.143 4.373 10.682
angles: 90.00 116.92 90.00
Space group C2/m (No. 12)
Asymmetric unit:
Ce 0.215 0.000 0.364 x4
Pm 0.011 0.500 0.686 x4
Pm 0.185 0.500 0.097 x4
Si 0.027 0.000 0.903 x4
Si 0.111 0.000 0.567 x4

What should be chosen as the most stable of them? Choose model Q.

Model P:
First-principles (PBE-GGA) data for crystalline Ce2PmSi2 at its relaxed geometry, as listed in Alexandria via LeMat-Bulk.

Values from the calculation:
Magnetization = 1.58 μB/f.u.

abc: 7.665 7.665 4.241
angles: 90.00 90.00 90.00
Space group P4/mbm (No. 127)
Asymmetric unit:
Ce 0.178 0.322 0.000 x4
Pm 0.000 0.000 0.500 x2
Si 0.113 0.613 0.500 x4

Model Q:
First-principles (PBE-GGA) data for crystalline Ce2PmSi2 at its relaxed geometry, as listed in Alexandria via LeMat-Bulk.

Values from the calculation:
Magnetization = 1.91 μB/f.u.

abc: 5.611 4.204 11.397
angles: 90.00 102.40 90.00
Space group P2_1/m (No. 11)
Asymmetric unit:
Ce 0.068 0.250 0.370 x2
Ce 0.181 0.250 0.017 x2
Pm 0.472 0.250 0.724 x2
Si 0.287 0.750 0.864 x2
Si 0.381 0.750 0.521 x2

What should be chosen as the most stable of them? Choose model P.

Model P:
First-principles (PBE-GGA) data for crystalline CePmSm at its relaxed geometry, as listed in Alexandria via LeMat-Bulk.

Values from the calculation:
Magnetization = 1.04 μB/f.u.

abc: 5.6708 5.6708 3.4992
angles: 90.00 90.00 120.00
Space group P-6m2 (No. 187)
Asymmetric unit:
Ce 0.0000 0.0000 0.0000 x1
Pm 0.6667 0.3333 0.0000 x1
Sm 0.3333 0.6667 0.5000 x1

Model Q:
First-principles (PBE-GGA) data for crystalline CePmSm at its relaxed geometry, as listed in Alexandria via LeMat-Bulk.

Values from the calculation:
Magnetization = 0.81 μB/f.u.

abc: 11.342 5.719 5.966
angles: 90.00 90.00 90.00
Space group Pnma (No. 62)
Asymmetric unit:
Ce 0.051 0.250 0.039 x4
Pm 0.246 0.250 0.494 x4
Sm 0.086 0.750 0.471 x4

What should be chosen as the most stable of them? Choose model P.

Model P:
First-principles (PBE-GGA) data for crystalline CePmSm at its relaxed geometry, as listed in Alexandria via LeMat-Bulk.

Values from the calculation:
Magnetization = 0.49 μB/f.u.

abc: 13.101 3.487 9.794
angles: 90.00 120.55 90.00
Space group C2/m (No. 12)
Asymmetric unit:
Ce 0.113 0.000 0.008 x4
Pm 0.115 0.500 0.338 x4
Sm 0.132 0.000 0.681 x4

Model Q:
First-principles (PBE-GGA) data for crystalline CePmSm at its relaxed geometry, as listed in Alexandria via LeMat-Bulk.

Values from the calculation:
Magnetization = 0.17 μB/f.u.

abc: 3.563 3.563 15.148
angles: 90.00 90.00 90.00
Space group I4mm (No. 107)
Asymmetric unit:
Ce 0.000 0.000 0.000 x2
Pm 0.000 0.000 0.341 x2
Sm 0.000 0.000 0.659 x2

What should be chosen as the most stable of them? Choose model Q.

Model P:
First-principles (PBE-GGA) data for crystalline CePmSm2 at its relaxed geometry, as listed in Alexandria via LeMat-Bulk.

Values from the calculation:
Magnetization = 2.54 μB/f.u.

abc: 8.137 8.137 8.137
angles: 90.00 90.00 90.00
Space group Fm-3m (No. 225)
Asymmetric unit:
Ce 0.000 0.000 0.000 x4
Pm 0.000 0.000 0.500 x4
Sm 0.250 0.250 0.250 x8

Model Q:
First-principles (PBE-GGA) data for crystalline CePmSm2 at its relaxed geometry, as listed in Alexandria via LeMat-Bulk.

Values from the calculation:
Magnetization = 0.80 μB/f.u.

abc: 3.4740 3.4740 37.6564
angles: 90.00 90.00 120.00
Space group R-3m (No. 166, hexagonal axes)
Asymmetric unit:
Ce 0.0000 0.0000 0.0000 x3
Pm 0.0000 0.0000 0.5000 x3
Sm 0.0000 0.0000 0.0876 x6

Model R:
First-principles (PBE-GGA) data for crystalline CePmSm2 at its relaxed geometry, as listed in Alexandria via LeMat-Bulk.

Values from the calculation:
Magnetization = 0.61 μB/f.u.

abc: 3.575 3.575 10.247
angles: 90.00 90.00 90.00
Space group P4/mmm (No. 123)
Asymmetric unit:
Ce 0.000 0.000 0.000 x1
Pm 0.000 0.000 0.500 x1
Sm 0.500 0.500 0.240 x2

Model S:
First-principles (PBE-GGA) data for crystalline CePmSm2 at its relaxed geometry, as listed in Alexandria via LeMat-Bulk.

Values from the calculation:
Magnetization = 0.68 μB/f.u.

abc: 5.098 5.098 5.089
angles: 90.00 90.00 90.00
Space group P4/mmm (No. 123)
Asymmetric unit:
Ce 0.000 0.000 0.000 x1
Pm 0.500 0.500 0.000 x1
Sm 0.000 0.500 0.500 x2

What should be chosen as the most stable of them? Choose model R.